The following is a DFT calculation (PBE) of an optimized crystal structure of TbNd2Ho7.

## Properties
Relative energy among the computed polymorphs   0.0 meV/atom

Cell lengths 6.1588, 6.1611, 9.4115 Å; angles 102.58, 109.09, 99.48 degrees
Closest atoms and distances in Å follow each position.
Positions (direct):
1 Tb 0.0000 0.0000 0.0000  10 Ho 3.55-3.56, 2 Nd 3.56
2 Nd 0.3994 0.4997 0.2994  10 Ho 3.55-3.58, 1 Tb 3.56, 1 Nd 3.57
3 Nd 0.6006 0.5003 0.7006  10 Ho 3.55-3.58, 1 Tb 3.56, 1 Nd 3.57
4 Ho 0.0000 0.5000 0.5000  8 Ho 3.55-3.56, 4 Nd 3.56
5 Ho 0.1983 0.9986 0.3996  8 Ho 3.54-3.57, 3 Nd 3.55-3.58, 1 Tb 3.56
6 Ho 0.2012 0.4999 0.9007  7 Ho 3.54-3.56, 3 Nd 3.55-3.56, 2 Tb 3.56
7 Ho 0.3986 0.9992 0.8002  8 Ho 3.54-3.57, 2 Tb 3.55-3.56, 2 Nd 3.56-3.57
8 Ho 0.6014 0.0008 0.1998  8 Ho 3.54-3.57, 2 Tb 3.55-3.56, 2 Nd 3.56-3.57
9 Ho 0.7988 0.5001 0.0993  7 Ho 3.54-3.56, 3 Nd 3.55-3.56, 2 Tb 3.56
10 Ho 0.8017 0.0014 0.6004  8 Ho 3.54-3.57, 3 Nd 3.55-3.58, 1 Tb 3.56

The following is a DFT calculation (PBE) of an optimized crystal structure of Tb12NdHo7.

## Properties
Relative energy among the computed polymorphs   401.2 meV/atom

Cell lengths 9.7893, 9.7893, 9.7893 Å; angles 109.47, 109.47, 109.47 degrees
Closest atoms and distances in Å follow each position.
Positions (direct):
1 Tb 0.0010 0.7457 0.2553  2 Ho 2.83
2 Tb 0.2543 0.2553 0.5096  2 Ho 2.83
3 Tb 0.2543 0.7447 0.9990  2 Ho 2.83
4 Tb 0.2553 0.0010 0.7457  2 Ho 2.83
5 Tb 0.2553 0.5096 0.2543  2 Ho 2.83
6 Tb 0.4904 0.7457 0.7447  2 Ho 2.83
7 Tb 0.5096 0.2543 0.2553  2 Ho 2.83
8 Tb 0.7447 0.4904 0.7457  2 Ho 2.83
9 Tb 0.7447 0.9990 0.2543  2 Ho 2.83
10 Tb 0.7457 0.2553 0.0010  2 Ho 2.83
11 Tb 0.7457 0.7447 0.4904  2 Ho 2.83
12 Tb 0.9990 0.2543 0.7447  2 Ho 2.83
13 Nd 0.0000 0.0000 0.0000  12 Tb 4.07
14 Ho 0.0000 0.0000 0.5000  6 Tb 2.83
15 Ho 0.0000 0.5000 0.0000  6 Tb 2.83
16 Ho 0.0000 0.5000 0.5000  12 Tb 3.92-4.01
17 Ho 0.5000 0.0000 0.0000  6 Tb 2.83
18 Ho 0.5000 0.0000 0.5000  12 Tb 3.92-4.01
19 Ho 0.5000 0.5000 0.0000  12 Tb 3.92-4.01
20 Ho 0.5000 0.5000 0.5000  6 Tb 2.83

The following is a DFT calculation (PBE) of an optimized crystal structure of Tb9Nd11Ho4.

Cell lengths 15.4785, 15.4785, 3.6671 Å; angles 90.00, 90.00, 113.10 degrees
Closest atoms and distances in Å follow each position.
Positions (direct):
1 Tb 0.0000 0.0000 0.0000  2 Tb 3.67, 4 Ho 3.76, 8 Nd 3.86-3.99
2 Tb 0.1303 0.6655 0.0000  3 Tb 3.48-3.67, 1 Ho 3.50, 8 Nd 3.56-3.75
3 Tb 0.2862 0.4320 0.0000  1 Ho 3.52, 8 Nd 3.56-3.78, 3 Tb 3.67-3.77
4 Tb 0.3345 0.8697 0.0000  3 Tb 3.48-3.67, 1 Ho 3.50, 8 Nd 3.56-3.75
5 Tb 0.4320 0.2862 0.0000  1 Ho 3.52, 8 Nd 3.56-3.78, 3 Tb 3.67-3.77
6 Tb 0.5680 0.7138 0.0000  1 Ho 3.52, 8 Nd 3.56-3.78, 3 Tb 3.67-3.77
7 Tb 0.6655 0.1303 0.0000  3 Tb 3.48-3.67, 1 Ho 3.50, 8 Nd 3.56-3.75
8 Tb 0.7138 0.5680 0.0000  1 Ho 3.52, 8 Nd 3.56-3.78, 3 Tb 3.67-3.77
9 Tb 0.8697 0.3345 0.0000  3 Tb 3.48-3.67, 1 Ho 3.50, 8 Nd 3.56-3.75
10 Nd 0.0950 0.4571 0.5000  2 Ho 3.41, 6 Tb 3.56-3.73, 3 Nd 3.67
11 Nd 0.1314 0.8686 0.5000  4 Ho 3.34, 4 Tb 3.63, 2 Nd 3.67
12 Nd 0.2074 0.2074 0.5000  4 Ho 3.32, 2 Nd 3.67, 4 Tb 3.69
13 Nd 0.3394 0.6606 0.5000  4 Nd 3.67-3.86, 8 Tb 3.75-3.78
14 Nd 0.4571 0.0950 0.5000  2 Ho 3.41, 6 Tb 3.56-3.73, 3 Nd 3.67
15 Nd 0.5000 0.5000 0.5000  8 Tb 3.56, 2 Nd 3.67
16 Nd 0.5429 0.9050 0.5000  2 Ho 3.41, 6 Tb 3.56-3.73, 3 Nd 3.67
17 Nd 0.6606 0.3394 0.5000  4 Nd 3.67-3.86, 8 Tb 3.75-3.78
18 Nd 0.7926 0.7926 0.5000  4 Ho 3.32, 2 Nd 3.67, 4 Tb 3.69
19 Nd 0.8686 0.1314 0.5000  4 Ho 3.34, 4 Tb 3.63, 2 Nd 3.67
20 Nd 0.9050 0.5429 0.5000  2 Ho 3.41, 6 Tb 3.56-3.73, 3 Nd 3.67
21 Ho 0.0554 0.2590 0.0000  6 Nd 3.32-3.41, 2 Tb 3.50-3.52, 2 Ho 3.67
22 Ho 0.2590 0.0554 0.0000  6 Nd 3.32-3.41, 2 Tb 3.50-3.52, 2 Ho 3.67
23 Ho 0.7410 0.9446 0.0000  6 Nd 3.32-3.41, 2 Tb 3.50-3.52, 2 Ho 3.67
24 Ho 0.9446 0.7410 0.0000  6 Nd 3.32-3.41, 2 Tb 3.50-3.52, 2 Ho 3.67

The following is a DFT calculation (PBE) of an optimized crystal structure of Tb12NdHo7.

## Properties
Relative energy among the computed polymorphs   0.0 meV/atom

Cell lengths 8.6964, 8.6964, 8.6964 Å; angles 95.03, 95.03, 95.03 degrees
Closest atoms and distances in Å follow each position.
Positions (direct):
1 Tb 0.1454 0.4121 0.4749  2 Ho 3.07-3.10, 2 Tb 3.11-3.34
2 Tb 0.1889 0.7498 0.3202  3 Tb 3.34-3.57, 3 Ho 3.37-3.57
3 Tb 0.2502 0.6798 0.8111  3 Tb 3.34-3.57, 3 Ho 3.37-3.57
4 Tb 0.3202 0.1889 0.7498  3 Tb 3.34-3.57, 3 Ho 3.37-3.57
5 Tb 0.4121 0.4749 0.1454  2 Ho 3.07-3.10, 2 Tb 3.11-3.34
6 Tb 0.4749 0.1454 0.4121  2 Ho 3.07-3.10, 2 Tb 3.11-3.34
7 Tb 0.5251 0.8546 0.5879  2 Ho 3.07-3.10, 2 Tb 3.11-3.34
8 Tb 0.5879 0.5251 0.8546  2 Ho 3.07-3.10, 2 Tb 3.11-3.34
9 Tb 0.6798 0.8111 0.2502  3 Tb 3.34-3.57, 3 Ho 3.37-3.57
10 Tb 0.7498 0.3202 0.1889  3 Tb 3.34-3.57, 3 Ho 3.37-3.57
11 Tb 0.8111 0.2502 0.6798  3 Tb 3.34-3.57, 3 Ho 3.37-3.57
12 Tb 0.8546 0.5879 0.5251  2 Ho 3.07-3.10, 2 Tb 3.11-3.34
13 Nd 0.0000 0.0000 0.0000  6 Ho 3.05
14 Ho 0.0147 0.0805 0.3502  1 Nd 3.05, 2 Tb 3.07-3.37, 1 Ho 3.08
15 Ho 0.0805 0.3502 0.0147  1 Nd 3.05, 2 Tb 3.07-3.37, 1 Ho 3.08
16 Ho 0.3502 0.0147 0.0805  1 Nd 3.05, 2 Tb 3.07-3.37, 1 Ho 3.08
17 Ho 0.5000 0.5000 0.5000  6 Tb 3.10
18 Ho 0.6498 0.9853 0.9195  1 Nd 3.05, 2 Tb 3.07-3.37, 1 Ho 3.08
19 Ho 0.9195 0.6498 0.9853  1 Nd 3.05, 2 Tb 3.07-3.37, 1 Ho 3.08
20 Ho 0.9853 0.9195 0.6498  1 Nd 3.05, 2 Tb 3.07-3.37, 1 Ho 3.08

The following is a DFT calculation (PBE) of an optimized crystal structure of Tb3Nd2Ho.

## Properties
Relative energy among the computed polymorphs   140.0 meV/atom

Cell lengths 6.7084, 17.6621, 3.3908 Å; angles 90.00, 90.00, 90.00 degrees
Closest atoms and distances in Å follow each position.
Positions (direct):
1 Tb 0.0000 0.0000 0.0000  2 Tb 3.39, 4 Nd 3.55, 4 Ho 3.76
2 Tb 0.2437 0.3240 0.0000  4 Nd 3.34-3.48, 2 Tb 3.39, 1 Ho 3.51
3 Tb 0.2563 0.8240 0.5000  4 Nd 3.34-3.48, 2 Tb 3.39, 1 Ho 3.51
4 Tb 0.5000 0.5000 0.5000  2 Tb 3.39, 4 Nd 3.55, 4 Ho 3.76
5 Tb 0.7437 0.1760 0.5000  4 Nd 3.34-3.48, 2 Tb 3.39, 1 Ho 3.51
6 Tb 0.7563 0.6760 0.0000  4 Nd 3.34-3.48, 2 Tb 3.39, 1 Ho 3.51
7 Nd 0.2381 0.1517 0.5000  1 Ho 3.20, 6 Tb 3.34-3.55, 2 Nd 3.39
8 Nd 0.2619 0.6517 0.0000  1 Ho 3.20, 6 Tb 3.34-3.55, 2 Nd 3.39
9 Nd 0.7381 0.3483 0.0000  1 Ho 3.20, 6 Tb 3.34-3.55, 2 Nd 3.39
10 Nd 0.7619 0.8483 0.5000  1 Ho 3.20, 6 Tb 3.34-3.55, 2 Nd 3.39
11 Ho 0.0000 0.5000 0.0000  2 Nd 3.20, 2 Ho 3.39, 2 Tb 3.51
12 Ho 0.5000 0.0000 0.5000  2 Nd 3.20, 2 Ho 3.39, 2 Tb 3.51

The following is a DFT calculation (PBE) of an optimized crystal structure of Tb2Nd3Ho6.

## Properties
Relative energy among the computed polymorphs   70.2 meV/atom

Cell lengths 16.9494, 16.9494, 16.9494 Å; angles 163.87, 163.87, 22.88 degrees
Closest atoms and distances in Å follow each position.
Positions (direct):
1 Tb 0.0462 0.0462 0.0000  1 Tb 3.07, 4 Ho 3.43
2 Tb 0.9538 0.9538 0.0000  1 Tb 3.07, 4 Ho 3.43
3 Nd 0.2964 0.2964 0.0000  9 Ho 3.38-3.64
4 Nd 0.5000 0.5000 0.0000  8 Tb 3.70
5 Nd 0.7036 0.7036 0.0000  9 Ho 3.38-3.64
6 Ho 0.1204 0.6204 0.5000  6 Ho 3.36-3.38, 2 Tb 3.43, 2 Nd 3.64
7 Ho 0.1926 0.1926 0.0000  4 Ho 3.38, 5 Nd 3.38-3.45
8 Ho 0.3796 0.8796 0.5000  6 Ho 3.36-3.38, 2 Tb 3.43, 2 Nd 3.64
9 Ho 0.6204 0.1204 0.5000  6 Ho 3.36-3.38, 2 Tb 3.43, 2 Nd 3.64
10 Ho 0.8074 0.8074 0.0000  4 Ho 3.38, 5 Nd 3.38-3.45
11 Ho 0.8796 0.3796 0.5000  6 Ho 3.36-3.38, 2 Tb 3.43, 2 Nd 3.64

The following is a DFT calculation (PBE) of an optimized crystal structure of Tb4NdHo8.

Cell lengths 9.9325, 9.9325, 9.9325 Å; angles 43.09, 43.09, 43.09 degrees
Closest atoms and distances in Å follow each position.
Positions (direct):
1 Tb 0.0000 0.0000 0.0000  6 Ho 3.33, 6 Tb 3.65
2 Tb 0.0000 0.5000 0.5000  6 Ho 3.55-3.75, 6 Tb 3.65
3 Tb 0.5000 0.0000 0.5000  6 Ho 3.55-3.75, 6 Tb 3.65
4 Tb 0.5000 0.5000 0.0000  6 Ho 3.55-3.75, 6 Tb 3.65
5 Nd 0.5000 0.5000 0.5000  6 Ho 2.92
6 Ho 0.1929 0.7504 0.7504  1 Nd 2.92, 2 Ho 3.23
7 Ho 0.2183 0.2183 0.2183  9 Ho 3.65-3.67, 3 Tb 3.75
8 Ho 0.2496 0.2496 0.8071  1 Nd 2.92, 2 Ho 3.23
9 Ho 0.2496 0.8071 0.2496  1 Nd 2.92, 2 Ho 3.23
10 Ho 0.7504 0.1929 0.7504  1 Nd 2.92, 2 Ho 3.23
11 Ho 0.7504 0.7504 0.1929  1 Nd 2.92, 2 Ho 3.23
12 Ho 0.7817 0.7817 0.7817  9 Ho 3.65-3.67, 3 Tb 3.75
13 Ho 0.8071 0.2496 0.2496  1 Nd 2.92, 2 Ho 3.23

The following is a DFT calculation (PBE) of an optimized crystal structure of Tb7NdHo5.

## Properties
Relative energy among the computed polymorphs   2.0 meV/atom

Cell lengths 8.7001, 8.7001, 8.7001 Å; angles 134.97, 100.14, 96.74 degrees
Closest atoms and distances in Å follow each position.
Positions (direct):
1 Tb 0.0000 0.0000 0.0000  6 Ho 3.33-3.49, 1 Nd 3.50, 1 Tb 3.54
2 Tb 0.0772 0.7488 0.3284  5 Ho 3.44-3.46, 4 Tb 3.44-3.83, 1 Nd 3.72
3 Tb 0.3058 0.3058 0.0000  7 Tb 3.54-3.90, 4 Ho 3.75
4 Tb 0.4205 0.7488 0.6716  5 Ho 3.44-3.46, 4 Tb 3.44-3.83, 1 Nd 3.72
5 Tb 0.4962 0.9962 0.5000  4 Ho 3.12, 2 Tb 3.44
6 Tb 0.5807 0.2506 0.3301  5 Ho 3.46-3.47, 5 Tb 3.50-3.80
7 Tb 0.9205 0.2506 0.6699  5 Ho 3.46-3.47, 5 Tb 3.50-3.80
8 Nd 0.6973 0.6973 0.0000  7 Tb 3.50-3.88, 4 Ho 3.78
9 Ho 0.0018 0.5018 0.5000  6 Tb 3.33-3.47, 4 Ho 3.40
10 Ho 0.2688 0.2641 0.5350  6 Tb 3.12-3.49, 2 Ho 3.13-3.40
11 Ho 0.2688 0.7338 0.0047  6 Tb 3.12-3.49, 2 Ho 3.13-3.40
12 Ho 0.7291 0.2641 0.9953  6 Tb 3.12-3.49, 2 Ho 3.13-3.40
13 Ho 0.7291 0.7338 0.4650  6 Tb 3.12-3.49, 2 Ho 3.13-3.40

The following is a DFT calculation (PBE) of an optimized crystal structure of Tb8Nd3Ho2.

## Properties
Relative energy among the computed polymorphs   220.4 meV/atom

Cell lengths 10.7742, 10.7742, 5.6782 Å; angles 90.02, 90.02, 42.01 degrees
Closest atoms and distances in Å follow each position.
Positions (direct):
1 Tb 0.0999 0.6820 0.9997  1 Nd 3.14, 3 Tb 3.23-3.51, 2 Ho 3.41-3.49
2 Tb 0.1724 0.1724 0.5006  2 Ho 3.32-3.33, 4 Tb 3.50-3.51
3 Tb 0.3180 0.9001 0.0003  1 Nd 3.14, 3 Tb 3.23-3.51, 2 Ho 3.41-3.49
4 Tb 0.3643 0.3643 0.5001  4 Nd 3.54-3.94, 2 Ho 3.55, 7 Tb 3.66-3.93
5 Tb 0.6357 0.6357 0.4999  4 Nd 3.54-3.94, 2 Ho 3.55, 7 Tb 3.66-3.93
6 Tb 0.6820 0.0999 0.9997  1 Nd 3.14, 3 Tb 3.23-3.51, 2 Ho 3.41-3.49
7 Tb 0.8276 0.8276 0.4994  2 Ho 3.32-3.33, 4 Tb 3.50-3.51
8 Tb 0.9001 0.3180 0.0003  1 Nd 3.14, 3 Tb 3.23-3.51, 2 Ho 3.41-3.49
9 Nd 0.2084 0.7916 0.5000  1 Nd 3.22, 6 Tb 3.54-3.59
10 Nd 0.5000 0.5000 0.0000  4 Tb 3.14
11 Nd 0.7916 0.2084 0.5000  1 Nd 3.22, 6 Tb 3.54-3.59
12 Ho 0.2584 0.2584 0.0006  8 Tb 3.32-3.55
13 Ho 0.7416 0.7416 0.9994  8 Tb 3.32-3.55

no.,raw total energy (eV for the cell shown)
1,-46.01
2,-78.39
3,-111.11
4,-86.41
5,-52.91
6,-48.05
7,-57.33
8,-56.86
9,-57.39